Computed, not measured: a geometry-optimized CoAsSe2 structure at the GGA-PBE level of DFT.

Values from the calculation:
As for the uncorrected formation energy: -45 kJ/mol of formula units. The total magnetic moment comes out at 0.0 Bohr magnetons per cell. Its crystal system is monoclinic. For the total energy, the calculation gives -4.80 eV/atom. The calculation puts the volume at 93.4 Å³ per cell.

Cell: 4.5306 4.5306 6.8778 Å, 71.31 71.31 44.88°
Sites, in units of the cell vectors:
Co1 0.3086 0.3086 0.3748
As1 0.5949 0.5949 0.3753
Se1 0.8738 0.8738 0.1090
Se2 0.7227 0.7227 0.6409

Computed, not measured: a geometry-optimized CoAsSe2 structure at the GGA-PBE level of DFT.

Values from the calculation:
As for the uncorrected formation energy: 57 kJ/mol of formula units. The total magnetic moment comes out at 0.0 Bohr magnetons per cell. Its crystal system is orthorhombic. For the total energy, the calculation gives -4.53 eV/atom. The calculation puts the volume at 74.4 Å³ per cell.

Cell: 6.1393 6.1393 6.1393 Å, 150.29 139.33 51.17°
Sites, in units of the cell vectors:
Co1 0.2408 0.7408 0.5000
Se1 0.0774 0.0774 0.0000
As1 0.4146 0.4146 0.0000
Se2 0.7672 0.2672 0.5000

Computed, not measured: a geometry-optimized CoAsSe2 structure at the GGA-PBE level of DFT.

Values from the calculation:
As for the uncorrected formation energy: 73 kJ/mol of formula units. The total magnetic moment comes out at 1.7 Bohr magnetons per cell. Its crystal system is orthorhombic. For the total energy, the calculation gives -4.49 eV/atom. The calculation puts the volume at 73.7 Å³ per cell.

Cell: 4.5821 4.5704 4.5765 Å, 70.91 69.73 109.14°
Site moments in Bohr magnetons follow the coordinates.
Sites, in units of the cell vectors:
Se1 0.0000 0.0000 0.0000  0.01
Co1 0.5000 0.5000 0.0000  1.59
Se2 0.5000 0.0000 0.5000  0.01
As1 0.0000 0.5000 0.5000  0.00

Computed, not measured: a geometry-optimized CoAsSe2 structure at the GGA-PBE level of DFT.

Values from the calculation:
As for the uncorrected formation energy: 244 kJ/mol of formula units. The total magnetic moment comes out at 1.5 Bohr magnetons per cell. Its crystal system is cubic. For the total energy, the calculation gives -4.05 eV/atom. The calculation puts the volume at 69.0 Å³ per cell.

Cell: 4.6035 4.6035 4.6035 Å, 60.00 60.00 60.00°
Site moments in Bohr magnetons follow the coordinates.
Sites, in units of the cell vectors:
Se1 0.0000 0.0000 0.0000  0.03
Co1 0.7500 0.7500 0.7500  1.57
Se2 0.2500 0.2500 0.2500  0.05
As1 0.5000 0.5000 0.5000  -0.05

Computed, not measured: a geometry-optimized CoAsSe2 structure at the GGA-PBE level of DFT.

Values from the calculation:
As for the uncorrected formation energy: -7 kJ/mol of formula units. The total magnetic moment comes out at 0.0 Bohr magnetons per cell. Its crystal system is trigonal. For the total energy, the calculation gives -4.70 eV/atom. The calculation puts the volume at 81.5 Å³ per cell.

Cell: 8.1149 8.1149 8.1149 Å, 24.61 24.61 24.61°
Sites, in units of the cell vectors:
Co1 0.5000 0.5000 0.5000
As1 0.0000 0.0000 0.0000
Se1 0.1134 0.1134 0.1134
Se2 0.8866 0.8866 0.8866

Computed, not measured: a geometry-optimized CoAsSe structure at the GGA-PBE level of DFT.

Values from the calculation:
As for the uncorrected formation energy: 197 kJ/mol of formula units. The total magnetic moment comes out at 0.8 Bohr magnetons per cell. Its crystal system is cubic. For the total energy, the calculation gives -4.40 eV/atom. The calculation puts the volume at 55.4 Å³ per cell.

Cell: 4.2779 4.2779 4.2779 Å, 60.00 60.00 60.00°
Site moments in Bohr magnetons follow the coordinates.
Sites, in units of the cell vectors:
As1 0.0000 0.0000 0.0000  -0.05
Co1 0.5000 0.5000 0.5000  0.99
Se1 0.2500 0.2500 0.2500  -0.02

Computed, not measured: a geometry-optimized CoAsSe2 structure at the GGA-PBE level of DFT.

Values from the calculation:
As for the uncorrected formation energy: 41 kJ/mol of formula units. The total magnetic moment comes out at 0.1 Bohr magnetons per cell. Its crystal system is tetragonal. For the total energy, the calculation gives -4.57 eV/atom. The calculation puts the volume at 81.0 Å³ per cell.

Cell: 2.8088 2.8088 10.2630 Å, 90.00 90.00 90.00°
Site moments in Bohr magnetons follow the coordinates.
Sites, in units of the cell vectors:
Co1 0.5000 0.5000 0.7563  0.08
As1 0.0000 0.0000 0.5959  0.00
Se1 0.5000 0.5000 0.2497  0.00
Se2 0.0000 0.0000 0.8981  0.00

Computed, not measured: a geometry-optimized CoAsSe2 structure at the GGA-PBE level of DFT.

Values from the calculation:
As for the uncorrected formation energy: 39 kJ/mol of formula units. The total magnetic moment comes out at 0.0 Bohr magnetons per cell. Its crystal system is tetragonal. For the total energy, the calculation gives -4.58 eV/atom. The calculation puts the volume at 182.0 Å³ per cell.

Cell: 5.7786 5.7786 6.8125 Å, 64.90 64.90 90.00°
Sites, in units of the cell vectors:
As1 0.0000 0.0000 0.0000
Se1 0.3750 0.4345 0.7500
Co1 0.5000 0.5000 0.0000
Se2 0.1845 0.6250 0.2500
As2 0.7500 0.2500 0.5000
Se3 0.8750 0.8155 0.7500
Se4 0.5655 0.1250 0.2500
Co2 0.2500 0.7500 0.5000

Computed, not measured: a geometry-optimized CoAs3Se structure at the GGA-PBE level of DFT.

Values from the calculation:
As for the uncorrected formation energy: 199 kJ/mol of formula units. Its energy above the most stable polymorph in this dataset is 0 kJ/mol of formula units. The total magnetic moment comes out at 0.0 Bohr magnetons per cell. Its crystal system is cubic. For the total energy, the calculation gives -4.49 eV/atom. The calculation puts the volume at 97.6 Å³ per cell.

Cell: 4.6047 4.6047 4.6047 Å, 90.00 90.00 90.00°
Sites, in units of the cell vectors:
As1 0.5000 0.0000 0.0000
Se1 0.5000 0.5000 0.5000
As2 0.0000 0.5000 0.0000
As3 0.0000 0.0000 0.5000
Co1 0.0000 0.0000 0.0000

Computed, not measured: a geometry-optimized CoAsSe structure at the GGA-PBE level of DFT.

Values from the calculation:
As for the uncorrected formation energy: -30 kJ/mol of formula units. The total magnetic moment comes out at 0.0 Bohr magnetons per cell. Its crystal system is trigonal. For the total energy, the calculation gives -5.18 eV/atom. The calculation puts the volume at 51.7 Å³ per cell.

Cell: 3.4401 3.4401 5.0409 Å, 90.00 90.00 120.00°
Sites, in units of the cell vectors:
As1 0.0000 0.0000 0.0761
Co1 0.6667 0.3333 0.3333
Se1 0.3333 0.6667 0.5907

Computed, not measured: a geometry-optimized CoAsSe structure at the GGA-PBE level of DFT.

Values from the calculation:
As for the uncorrected formation energy: -22 kJ/mol of formula units. The total magnetic moment comes out at 0.0 Bohr magnetons per cell. Its crystal system is cubic. For the total energy, the calculation gives -5.16 eV/atom. The calculation puts the volume at 50.2 Å³ per cell.

Cell: 4.1399 4.1399 4.1399 Å, 60.00 60.00 60.00°
Sites, in units of the cell vectors:
Se1 0.0000 0.0000 0.0000
Co1 0.2500 0.2500 0.2500
As1 0.5000 0.5000 0.5000

Computed, not measured: a geometry-optimized CoSiAsSe2 structure at the GGA-PBE level of DFT.

Values from the calculation:
As for the uncorrected formation energy: 428 kJ/mol of formula units. Its energy above the most stable polymorph in this dataset is 200 kJ/mol of formula units. The total magnetic moment comes out at 2.3 Bohr magnetons per cell. Its crystal system is tetragonal. For the total energy, the calculation gives -3.94 eV/atom. The calculation puts the volume at 104.8 Å³ per cell.

Cell: 4.7257 4.7257 4.6944 Å, 90.00 90.00 90.00°
Site moments in Bohr magnetons follow the coordinates.
Sites, in units of the cell vectors:
As1 0.0000 0.0000 0.5000  0.00
Co1 0.5000 0.5000 0.5000  2.14
Si1 0.0000 0.0000 0.0000  0.00
Se1 0.5000 0.0000 0.0000  0.05
Se2 0.0000 0.5000 0.0000  0.05

Computed, not measured: a geometry-optimized Co2SiAsSe structure at the GGA-PBE level of DFT.

Values from the calculation:
As for the uncorrected formation energy: 448 kJ/mol of formula units. The total magnetic moment comes out at 2.5 Bohr magnetons per cell. Its crystal system is tetragonal. For the total energy, the calculation gives -4.62 eV/atom. The calculation puts the volume at 101.5 Å³ per cell.

Cell: 4.3411 5.3863 4.3411 Å, 90.00 90.00 90.00°
Site moments in Bohr magnetons follow the coordinates.
Sites, in units of the cell vectors:
Se1 0.0000 0.5000 0.0000  0.05
Co1 0.0000 0.0000 0.5000  1.22
Si1 0.5000 0.5000 0.5000  -0.05
As1 0.0000 0.0000 0.0000  -0.03
Co2 0.5000 0.0000 0.0000  1.38

Computed, not measured: a geometry-optimized CoSiAsSe2 structure at the GGA-PBE level of DFT.

Values from the calculation:
As for the uncorrected formation energy: 228 kJ/mol of formula units. Its energy above the most stable polymorph in this dataset is 0 kJ/mol of formula units. The total magnetic moment comes out at 0.0 Bohr magnetons per cell. Its crystal system is tetragonal. For the total energy, the calculation gives -4.36 eV/atom. The calculation puts the volume at 97.5 Å³ per cell.

Cell: 4.7929 4.2462 4.7929 Å, 90.00 90.00 90.00°
Sites, in units of the cell vectors:
Co1 0.0000 0.0000 0.0000
As1 0.5000 0.5000 0.5000
Se1 0.0000 0.0000 0.5000
Si1 0.0000 0.5000 0.0000
Se2 0.5000 0.0000 0.0000

Computed, not measured: a geometry-optimized CoSiAsSe2 structure at the GGA-PBE level of DFT.

Values from the calculation:
As for the uncorrected formation energy: 265 kJ/mol of formula units. Its energy above the most stable polymorph in this dataset is 38 kJ/mol of formula units. The total magnetic moment comes out at 0.0 Bohr magnetons per cell. Its crystal system is tetragonal. For the total energy, the calculation gives -4.28 eV/atom. The calculation puts the volume at 102.4 Å³ per cell.

Cell: 4.8864 4.8864 4.2889 Å, 90.00 90.00 90.00°
Sites, in units of the cell vectors:
Se1 0.5000 0.0000 0.0000
Co1 0.0000 0.0000 0.0000
As1 0.0000 0.0000 0.5000
Se2 0.0000 0.5000 0.0000
Si1 0.5000 0.5000 0.5000

Computed, not measured: a geometry-optimized CoSnAsSe2 structure at the GGA-PBE level of DFT.

Values from the calculation:
As for the uncorrected formation energy: 79 kJ/mol of formula units. Its energy above the most stable polymorph in this dataset is 0 kJ/mol of formula units. The total magnetic moment comes out at 0.0 Bohr magnetons per cell. Its crystal system is tetragonal. For the total energy, the calculation gives -4.38 eV/atom. The calculation puts the volume at 109.7 Å³ per cell.

Cell: 5.0453 5.0453 4.3078 Å, 90.00 90.00 90.00°
Sites, in units of the cell vectors:
Co1 0.0000 0.0000 0.0000
Se1 0.5000 0.0000 0.0000
Se2 0.0000 0.5000 0.0000
As1 0.0000 0.0000 0.5000
Sn1 0.5000 0.5000 0.5000

Computed, not measured: a geometry-optimized CoSnAsSe2 structure at the GGA-PBE level of DFT.

Values from the calculation:
As for the uncorrected formation energy: 541 kJ/mol of formula units. Its energy above the most stable polymorph in this dataset is 462 kJ/mol of formula units. The total magnetic moment comes out at 3.2 Bohr magnetons per cell. Its crystal system is tetragonal. For the total energy, the calculation gives -3.42 eV/atom. The calculation puts the volume at 144.7 Å³ per cell.

Cell: 5.2778 5.2778 5.1950 Å, 90.00 90.00 90.00°
Site moments in Bohr magnetons follow the coordinates.
Sites, in units of the cell vectors:
Sn1 0.0000 0.0000 0.0000  0.00
Co1 0.5000 0.5000 0.5000  2.29
Se1 0.5000 0.0000 0.0000  0.13
Se2 0.0000 0.5000 0.0000  0.13
As1 0.0000 0.0000 0.5000  0.22

Computed, not measured: a geometry-optimized SrCoAs2Se structure at the GGA-PBE level of DFT.

Values from the calculation:
As for the uncorrected formation energy: -202 kJ/mol of formula units. Its energy above the most stable polymorph in this dataset is 0 kJ/mol of formula units. The total magnetic moment comes out at 0.4 Bohr magnetons per cell. Its crystal system is tetragonal. For the total energy, the calculation gives -4.73 eV/atom. The calculation puts the volume at 113.4 Å³ per cell.

Cell: 4.5308 4.5308 5.5224 Å, 90.00 90.00 90.00°
Site moments in Bohr magnetons follow the coordinates.
Sites, in units of the cell vectors:
Co1 0.0000 0.0000 0.0000  0.24
As1 0.0000 0.5000 0.0000  0.03
Se1 0.0000 0.0000 0.5000  0.00
As2 0.5000 0.0000 0.0000  0.03
Sr1 0.5000 0.5000 0.5000  0.01

Computed, not measured: a geometry-optimized SrCoAs2Se structure at the GGA-PBE level of DFT.

Values from the calculation:
As for the uncorrected formation energy: 728 kJ/mol of formula units. Its energy above the most stable polymorph in this dataset is 930 kJ/mol of formula units. The total magnetic moment comes out at 0.2 Bohr magnetons per cell. Its crystal system is tetragonal. For the total energy, the calculation gives -2.81 eV/atom. The calculation puts the volume at 172.4 Å³ per cell.

Cell: 5.5540 5.5540 5.5874 Å, 90.00 90.00 90.00°
Site moments in Bohr magnetons follow the coordinates.
Sites, in units of the cell vectors:
Se1 0.0000 0.0000 0.5000  0.02
As1 0.0000 0.5000 0.0000  -0.07
As2 0.5000 0.0000 0.0000  -0.07
Sr1 0.0000 0.0000 0.0000  -0.01
Co1 0.5000 0.5000 0.5000  0.07

Computed, not measured: a geometry-optimized TaCoAsSe2 structure at the GGA-PBE level of DFT.

Values from the calculation:
As for the uncorrected formation energy: 320 kJ/mol of formula units. Its energy above the most stable polymorph in this dataset is 11 kJ/mol of formula units. The total magnetic moment comes out at 0.0 Bohr magnetons per cell. Its crystal system is tetragonal. For the total energy, the calculation gives -5.45 eV/atom. The calculation puts the volume at 94.2 Å³ per cell.

Cell: 4.5965 4.5965 4.4577 Å, 90.00 90.00 90.00°
Sites, in units of the cell vectors:
As1 0.0000 0.0000 0.5000
Se1 0.0000 0.5000 0.0000
Co1 0.0000 0.0000 0.0000
Ta1 0.5000 0.5000 0.5000
Se2 0.5000 0.0000 0.0000

Number 1: Fermi-level density of states 1.1 states/eV/cell. Number 2: Fermi-level density of states 3.2 states/eV/cell. Number 3: Fermi-level density of states 2.5 states/eV/cell. Number 4: Fermi-level density of states 4.6 states/eV/cell. Number 5: Fermi-level density of states 3.9 states/eV/cell. Number 6: Fermi-level density of states 2.9 states/eV/cell. Number 7: Fermi-level density of states 4.0 states/eV/cell. Number 8: Fermi-level density of states 6.9 states/eV/cell. Number 9: Fermi-level density of states 4.4 states/eV/cell. Number 10: Fermi-level density of states 2.4 states/eV/cell. Number 11: Fermi-level density of states 1.3 states/eV/cell. Number 12: Fermi-level density of states 6.1 states/eV/cell. Number 13: Fermi-level density of states 5.8 states/eV/cell. Number 14: Fermi-level density of states 5.2 states/eV/cell. Number 15: Fermi-level density of states 5.7 states/eV/cell. Number 16: Fermi-level density of states 6.0 states/eV/cell. Number 17: Fermi-level density of states 6.8 states/eV/cell. Number 18: Fermi-level density of states 4.0 states/eV/cell. Number 19: Fermi-level density of states 15.6 states/eV/cell. Number 20: Fermi-level density of states 5.4 states/eV/cell.